First-principles (GGA-PBEsol) data for a geometry-optimized FeReBr2 structure, as listed in the Alexandria database.

As for the energy relative to the lowest polymorph listed for this composition: 520 meV per atom. The total energy comes out at -5.526 eV per atom. Its formation energy without anion corrections is 0.983 eV per atom.

The structure belongs to space group C2/m (No. 12); the cell edges are 8.194, 3.033 and 5.279 Å and the angles 90.00°, 102.72° and 90.00°. The asymmetric unit holds Fe at (0.000, 0.000, 0.000), Re at (0.000, 0.500, 0.500) and Br at (0.240, 0.500, 0.248).

***

First-principles (GGA-PBEsol) data for a geometry-optimized TaRhO4 structure, as listed in the Alexandria database.

The total energy comes out at -8.864 eV per atom. Its formation energy without anion corrections is -1.916 eV per atom.

The structure belongs to space group Cmmm (No. 65); the cell edges are 6.496, 6.573 and 3.102 Å and the angles 90.00°, 90.00° and 90.00°. The asymmetric unit holds Ta at (0.000, 0.000, 0.000), Rh at (0.000, 0.500, 0.500), O at (0.000, 0.194, 0.500) and O at (0.196, 0.500, 0.000).